Record 1
The following is a DFT calculation (PBE-GGA) of a relaxed FeTeRu2 crystal.

The space group is Pmm2 (No. 25) and the conventional cell measures 3.0390, 3.8569 and 5.4141 Å, with angles of 90.00, 90.00 and 90.00 degrees. The distinct sites, in fractional coordinates, are Fe at (0.0000, 0.0000, 0.0000), Te at (0.5000, 0.5000, 0.6743), Ru at (0.0000, 0.0000, 0.4621) and Ru at (0.5000, 0.5000, 0.1627).

The calculated volume is 63.5 Å³ per cell. Its density of states at the Fermi level is 4.9 states/eV per cell. Its total energy is -7.15 eV/atom. For the formation energy from raw total energies, the calculation gives 386 meV/atom. Its theoretical density is 10.09 g/cm³. The size of the total moment is 0.82 μB/atom.

***

Record 2
The following is a DFT calculation (PBE-GGA) of a relaxed ZnP3N crystal.

The space group is Pm-3m (No. 221) and the conventional cell measures 4.5408, 4.5408 and 4.5408 Å, with angles of 90.00, 90.00 and 90.00 degrees. The distinct sites, in fractional coordinates, are Zn at (0.0000, 0.0000, 0.0000), P at (0.0000, 0.0000, 0.5000) and N at (0.5000, 0.5000, 0.5000).

The calculated volume is 93.6 Å³ per cell. As for the relative energy among the computed polymorphs: 1.2156 eV per atom. Its density of states at the Fermi level is 8.0 states/eV per cell. Its total energy is -3.02 eV/atom. For the formation energy from raw total energies, the calculation gives 2141 meV/atom. Its theoretical density is 3.06 g/cm³. The size of the total moment is 0.00 μB/atom.

***

Record 3
The following is a DFT calculation (PBE-GGA) of a relaxed PrScCuPt crystal.

The space group is F-43m (No. 216) and the conventional cell measures 6.9497, 6.9497 and 6.9497 Å, with angles of 90.00, 90.00 and 90.00 degrees. The distinct sites, in fractional coordinates, are Pr at (0.0000, 0.0000, 0.0000), Sc at (0.0000, 0.0000, 0.5000), Cu at (0.2500, 0.2500, 0.2500) and Pt at (0.2500, 0.2500, 0.7500).

The calculated volume is 335.7 Å³ per cell. Its density of states at the Fermi level is 8.0 states/eV per cell. Its total energy is -5.93 eV/atom. For the energy of formation from the pure elements, the calculation gives -614 meV per atom. Its theoretical density is 8.80 g/cm³. The size of the total moment is 0.00 μB/atom.

***

Record 4
The following is a DFT calculation (PBE-GGA) of a relaxed MgSc4Rh crystal.

The space group is C2/m (No. 12) and the conventional cell measures 10.3478, 3.4609 and 8.6345 Å, with angles of 90.00, 111.60 and 90.00 degrees. The distinct sites, in fractional coordinates, are Mg at (0.0000, 0.0000, 0.0000), Sc at (0.1222, 0.0000, 0.3864), Sc at (0.1666, 0.5000, 0.8222) and Rh at (0.0000, 0.5000, 0.5000).

The calculated volume is 287.5 Å³ per cell. As for the relative energy among the computed polymorphs: 0.2160 eV per atom. Its density of states at the Fermi level is 13.5 states/eV per cell. Its total energy is -5.86 eV/atom. For the energy of formation from the pure elements, the calculation gives -151 meV per atom. Its theoretical density is 3.55 g/cm³. The size of the total moment is 0.00 μB/atom.

***

Record 5
The following is a DFT calculation (PBE-GGA) of a relaxed LiSiB6 crystal.

The space group is Cmce (No. 64) and the conventional cell measures 6.1130, 11.0095 and 8.4316 Å, with angles of 90.00, 90.00 and 90.00 degrees. The distinct sites, in fractional coordinates, are Li at (0.0000, 0.1746, 0.1603), Si at (0.0000, 0.1658, 0.8796), B at (0.0000, 0.1005, 0.6505), B at (0.0000, 0.1518, 0.4438), B at (0.1591, 0.0392, 0.3342) and B at (0.2343, 0.0792, 0.5314).

The calculated volume is 567.5 Å³ per cell. Its density of states at the Fermi level is 0.0 states/eV per cell. Its total energy is -6.13 eV/atom. For the formation energy from raw total energies, the calculation gives -203 meV/atom. Its theoretical density is 2.34 g/cm³. The size of the total moment is 0.00 μB/atom.

***

Record 6
The following is a DFT calculation (PBE-GGA) of a relaxed TiSiH2 crystal.

The space group is Fm-3m (No. 225) and the conventional cell measures 5.2029, 5.2029 and 5.2029 Å, with angles of 90.00, 90.00 and 90.00 degrees. The distinct sites, in fractional coordinates, are Ti at (0.0000, 0.0000, 0.0000), Si at (0.0000, 0.0000, 0.5000) and H at (0.2500, 0.2500, 0.2500).

The calculated volume is 140.8 Å³ per cell. As for the relative energy among the computed polymorphs: 0.3361 eV per atom. Its density of states at the Fermi level is 8.8 states/eV per cell. Its total energy is -4.73 eV/atom. Its theoretical density is 3.68 g/cm³. The size of the total moment is 0.00 μB/atom.

***

Record 7
The following is a DFT calculation (PBE-GGA) of a relaxed Ac2YBr2N2 crystal.

The space group is I4/mmm (No. 139) and the conventional cell measures 4.5675, 4.5675 and 16.5620 Å, with angles of 90.00, 90.00 and 90.00 degrees. The distinct sites, in fractional coordinates, are Ac at (0.0000, 0.0000, 0.0983), Y at (0.0000, 0.0000, 0.5000), Br at (0.0000, 0.0000, 0.3132) and N at (0.0000, 0.5000, 0.0000).

The calculated volume is 345.5 Å³ per cell. Its density of states at the Fermi level is 5.8 states/eV per cell. Its total energy is -6.37 eV/atom. For the formation energy from raw total energies, the calculation gives -1416 meV/atom. Its theoretical density is 7.02 g/cm³. The size of the total moment is 0.00 μB/atom.

***

Record 8
The following is a DFT calculation (PBE-GGA) of a relaxed BaSrCl crystal.

The space group is P-6m2 (No. 187) and the conventional cell measures 4.2276, 4.2276 and 16.3186 Å, with angles of 90.00, 90.00 and 120.00 degrees. The distinct sites, in fractional coordinates, are Ba at (0.0000, 0.0000, 0.2219), Sr at (0.0000, 0.0000, 0.5000), Sr at (0.6667, 0.3333, 0.0000) and Cl at (0.6667, 0.3333, 0.3810).

The calculated volume is 252.6 Å³ per cell. As for the relative energy among the computed polymorphs: 0.0465 eV per atom. Its density of states at the Fermi level is 6.5 states/eV per cell. Its total energy is -2.89 eV/atom. For the formation energy from raw total energies, the calculation gives -1072 meV/atom. Its theoretical density is 3.42 g/cm³. The size of the total moment is 0.16 μB/atom.

***

Record 9
The following is a DFT calculation (PBE-GGA) of a relaxed ZnCdSiIr crystal.

The space group is I4mm (No. 107) and the conventional cell measures 2.9171, 2.9171 and 15.9516 Å, with angles of 90.00, 90.00 and 90.00 degrees. The distinct sites, in fractional coordinates, are Zn at (0.0000, 0.0000, 0.0000), Cd at (0.0000, 0.0000, 0.6346), Si at (0.0000, 0.0000, 0.7996) and Ir at (0.0000, 0.0000, 0.3840).

The calculated volume is 135.7 Å³ per cell. As for the relative energy among the computed polymorphs: 0.0157 eV per atom. Its density of states at the Fermi level is 2.8 states/eV per cell. Its total energy is -4.32 eV/atom. For the formation energy from raw total energies, the calculation gives -203 meV/atom. Its theoretical density is 9.74 g/cm³. The size of the total moment is 0.00 μB/atom.

***

Record 10
The following is a DFT calculation (PBE-GGA) of a relaxed CoIr2Pt crystal.

The space group is R3m (No. 160, hexagonal axes) and the conventional cell measures 2.7263, 2.7263 and 26.2531 Å, with angles of 90.00, 90.00 and 120.00 degrees. The distinct sites, in fractional coordinates, are Co at (0.0000, 0.0000, 0.0000), Ir at (0.0000, 0.0000, 0.4954), Ir at (0.0000, 0.0000, 0.7446) and Pt at (0.0000, 0.0000, 0.2519).

The calculated volume is 169.0 Å³ per cell. As for the relative energy among the computed polymorphs: 0.0183 eV per atom. Its density of states at the Fermi level is 14.0 states/eV per cell. Its total energy is -7.69 eV/atom. For the energy of formation from the pure elements, the calculation gives 24 meV per atom. Its theoretical density is 18.82 g/cm³. The size of the total moment is 0.39 μB/atom.

***

Record 11
The following is a DFT calculation (PBE-GGA) of a relaxed Ti2PtN2 crystal.

The space group is I4/mmm (No. 139) and the conventional cell measures 4.1078, 4.1078 and 8.0143 Å, with angles of 90.00, 90.00 and 90.00 degrees. The distinct sites, in fractional coordinates, are Ti at (0.0000, 0.5000, 0.2500), Pt at (0.0000, 0.0000, 0.0000) and N at (0.0000, 0.0000, 0.2575).

The calculated volume is 135.2 Å³ per cell. As for the relative energy among the computed polymorphs: 0.0000 eV per atom. Its density of states at the Fermi level is 5.2 states/eV per cell. Its total energy is -8.73 eV/atom. For the formation energy from raw total energies, the calculation gives -1032 meV/atom. Its theoretical density is 7.83 g/cm³. The size of the total moment is 0.00 μB/atom.

***

Record 12
The following is a DFT calculation (PBE-GGA) of a relaxed KBa crystal.

The space group is F-43m (No. 216) and the conventional cell measures 9.7348, 9.7348 and 9.7348 Å, with angles of 90.00, 90.00 and 90.00 degrees. The distinct sites, in fractional coordinates, are K at (0.0000, 0.0000, 0.0000) and Ba at (0.2500, 0.2500, 0.7500).

The calculated volume is 922.5 Å³ per cell. Its density of states at the Fermi level is 18.1 states/eV per cell. Its total energy is -0.74 eV/atom. For the energy of formation from the pure elements, the calculation gives 774 meV per atom. Its theoretical density is 1.27 g/cm³. The size of the total moment is 0.00 μB/atom.